No. 1
Compound: RbTa2Ti
Source: the Alexandria database
Functional: PBE
Structure: relaxed

Calculated volume, Å³/cell: 85.38
Final energy, eV per atom: -6.3622
Size of the total moment, μB/cell: 2.08
Fermi-level density of states, states/eV per atom: 1.600
SG: Fm-3m (225)
Formation energy from the elements, eV/atom: 1.780

Structure (POSCAR):
```
RbTa2Ti
1.0
4.5548 -0.7142 1.7816
1.8774 3.1462 3.3177
0.6229 -1.4337 4.6890
Ti Ta Rb
1 2 1
Direct
0.0000 0.0000 0.0000 Ti
0.2500 0.2500 0.2500 Ta
0.7500 0.7500 0.7500 Ta
0.5000 0.5000 0.5000 Rb
```


No. 2
Compound: TmNbIrRh
Source: the Alexandria database
Functional: PBE
Structure: relaxed

Calculated volume, Å³/cell: 71.10
Final energy, eV per atom: -8.2210
Size of the total moment, μB/cell: 0.00
Fermi-level density of states, states/eV per atom: 1.185
SG: F-43m (216)
Formation energy from the elements, eV/atom: -0.533

Structure (POSCAR):
```
TmNbIrRh
1.0
4.6502 0.0000 0.0000
2.3251 4.0272 0.0000
2.3251 1.3424 3.7969
Ir Tm Rh Nb
1 1 1 1
Direct
0.7500 0.7500 0.7500 Ir
0.5000 0.5000 0.5000 Tm
0.2500 0.2500 0.2500 Rh
0.0000 0.0000 0.0000 Nb
```


No. 3
Compound: SmDyCu2
Source: the Alexandria database
Functional: PBE
Structure: relaxed

Calculated volume, Å³/cell: 86.04
Final energy, eV per atom: -4.5972
Size of the total moment, μB/cell: 0.00
Fermi-level density of states, states/eV per atom: 0.525
SG: P4/mmm (123)
Formation energy from the elements, eV/atom: -0.219

Structure (POSCAR):
```
SmDyCu2
1.0
3.4992 0.0000 0.0000
0.0000 3.4992 0.0000
0.0000 0.0000 7.0263
Cu Sm Dy
2 1 1
Direct
0.0000 0.0000 0.7633 Cu
0.0000 0.0000 0.2367 Cu
0.5000 0.5000 0.5000 Sm
0.5000 0.5000 0.0000 Dy
```


No. 4
Compound: LiSn2TeSe6
Source: the Alexandria database
Functional: PBE
Structure: relaxed

Formation energy (no corrections), meV per atom: -307
Calculated volume, Å³/cell: 574.23
Final energy, eV per atom: -3.7041
Size of the total moment, μB/cell: 0.00
Fermi-level density of states, states/eV per atom: 0.341
SG: C2/c (15)

Structure (POSCAR):
```
LiSn2TeSe6
1.0
-3.0691 -2.0234 -6.4879
-7.3054 -4.5356 2.7198
-6.3567 6.3009 -1.1087
Li Sn Se Te
2 4 12 2
Direct
0.7500 0.1101 0.8899 Li
0.2500 0.8899 0.1101 Li
0.2530 0.7957 0.6064 Sn
0.2470 0.3936 0.2043 Sn
0.7470 0.2043 0.3936 Sn
0.7530 0.6064 0.7957 Sn
0.6282 0.8226 0.9768 Se
0.4609 0.5422 0.7140 Se
0.9609 0.7140 0.5422 Se
0.3718 0.1774 0.0232 Se
0.8718 0.0232 0.1774 Se
0.8993 0.3428 0.9303 Se
0.1007 0.6572 0.0697 Se
0.3993 0.9303 0.3428 Se
0.6007 0.0697 0.6572 Se
0.5391 0.4578 0.2860 Se
0.1282 0.9768 0.8226 Se
0.0391 0.2860 0.4578 Se
0.2500 0.2480 0.7520 Te
0.7500 0.7520 0.2480 Te
```


No. 5
Compound: AlTl2Si2O6
Source: the Alexandria database
Functional: PBE
Structure: relaxed

Formation energy (no corrections), meV per atom: -1938
Calculated volume, Å³/cell: 151.74
Final energy, eV per atom: -6.3994
Size of the total moment, μB/cell: 1.00
Fermi-level density of states, states/eV per atom: 0.050
SG: R-3m (166)

Structure (POSCAR):
```
AlTl2Si2O6
1.0
-2.9037 2.6889 -3.8536
-4.5832 -2.2684 -2.0882
-5.6155 2.6606 2.1289
O Tl Al Si
6 2 1 2
Direct
0.2698 0.7683 0.1935 O
0.7302 0.2317 0.8065 O
0.2317 0.2317 0.8065 O
0.2317 0.7302 0.8065 O
0.7683 0.2698 0.1935 O
0.7683 0.7683 0.1935 O
0.7887 0.7887 0.6339 Tl
0.2113 0.2113 0.3661 Tl
0.0000 0.0000 0.0000 Al
0.4141 0.4141 0.7576 Si
0.5859 0.5859 0.2424 Si
```


No. 6
Compound: Pd7Pt4Rh
Source: the Alexandria database
Functional: PBE
Structure: relaxed

Calculated volume, Å³/cell: 183.82
Final energy, eV per atom: -5.6638
Size of the total moment, μB/cell: 0.00
Fermi-level density of states, states/eV per atom: 2.138
SG: P-3m1 (164)
Formation energy from the elements, eV/atom: -0.008

Structure (POSCAR):
```
Pd7Pt4Rh
1.0
1.3903 -2.4081 0.0000
1.3903 2.4081 0.0000
0.0000 0.0000 27.4509
Rh Pt Pd
1 4 7
Direct
0.0000 0.0000 0.5000 Rh
0.3333 0.6667 0.9162 Pt
0.6667 0.3333 0.3353 Pt
0.6667 0.3333 0.0838 Pt
0.3333 0.6667 0.6647 Pt
0.6667 0.3333 0.8321 Pd
0.3333 0.6667 0.1679 Pd
0.6667 0.3333 0.5806 Pd
0.3333 0.6667 0.4194 Pd
0.0000 0.0000 0.2510 Pd
0.0000 0.0000 0.7490 Pd
0.0000 0.0000 0.0000 Pd
```


No. 7
Compound: LiTmRhAu
Source: the Alexandria database
Functional: PBE
Structure: relaxed

Calculated volume, Å³/cell: 70.33
Final energy, eV per atom: -4.9372
Size of the total moment, μB/cell: 0.00
Fermi-level density of states, states/eV per atom: 0.272
SG: P4mm (99)
Formation energy from the elements, eV/atom: -0.684

Structure (POSCAR):
```
LiTmRhAu
1.0
-2.9344 1.4271 -1.0141
-1.1550 -3.0654 -0.9719
-2.3193 -0.8670 5.4910
Au Rh Tm Li
1 1 1 1
Direct
0.5000 0.5000 0.6351 Au
0.5000 0.5000 0.0967 Rh
0.0000 0.0000 0.3365 Tm
0.0000 0.0000 0.8596 Li
```


No. 8
Compound: TaCdPb2O8
Source: the Alexandria database
Functional: PBE
Structure: relaxed

Formation energy (no corrections), meV per atom: -1327
Calculated volume, Å³/cell: 168.66
Final energy, eV per atom: -6.3145
Size of the total moment, μB/cell: 0.34
Fermi-level density of states, states/eV per atom: 0.753
SG: Cmmm (65)

Structure (POSCAR):
```
TaCdPb2O8
1.0
-3.6994 2.9364 -1.5808
0.7603 -1.5770 -4.6606
-4.4378 -5.0589 0.9877
O Ta Pb Cd
8 1 2 1
Direct
0.7085 0.7090 0.0000 O
0.3087 0.3075 0.5000 O
0.6913 0.6925 0.5000 O
0.2915 0.2910 0.0000 O
0.8103 0.1902 0.2150 O
0.1897 0.8098 0.7850 O
0.8103 0.1902 0.7850 O
0.1897 0.8098 0.2150 O
0.0000 0.0000 0.0000 Ta
0.5000 0.5000 0.2494 Pb
0.5000 0.5000 0.7506 Pb
0.0000 0.0000 0.5000 Cd
```


No. 9
Compound: AlInGa2S6
Source: the Alexandria database
Functional: PBE
Structure: relaxed

Formation energy (no corrections), meV per atom: -688
Calculated volume, Å³/cell: 417.74
Final energy, eV per atom: -4.4182
Size of the total moment, μB/cell: 0.00
SG: C2/c (15)

Structure (POSCAR):
```
AlInGa2S6
1.0
-1.0407 3.6883 5.1473
5.7411 -3.0625 4.9534
5.4690 5.8881 -1.5153
Ga Al S In
4 2 12 2
Direct
0.8023 0.2144 0.4016 Ga
0.1977 0.7856 0.5984 Ga
0.6977 0.5984 0.7856 Ga
0.3023 0.4016 0.2144 Ga
0.7500 0.0982 0.9018 Al
0.2500 0.9018 0.0982 Al
0.1137 0.9701 0.8142 S
0.6228 0.1043 0.6395 S
0.8863 0.0299 0.1858 S
0.1128 0.2918 0.4456 S
0.6128 0.4456 0.2918 S
0.3772 0.8957 0.3605 S
0.8772 0.3605 0.8957 S
0.3872 0.5544 0.7082 S
0.3863 0.1858 0.0299 S
0.6137 0.8142 0.9701 S
0.8872 0.7082 0.5544 S
0.1228 0.6395 0.1043 S
0.2500 0.2668 0.7332 In
0.7500 0.7332 0.2668 In
```


No. 10
Compound: HgAsSe2O
Source: the Alexandria database
Functional: PBE
Structure: relaxed

Formation energy (no corrections), meV per atom: 1432
Calculated volume, Å³/cell: 146.04
Final energy, eV per atom: -1.9434
Size of the total moment, μB/cell: 0.80
Fermi-level density of states, states/eV per atom: 1.669
SG: P4/mmm (123)

Structure (POSCAR):
```
HgAsSe2O
1.0
-3.1399 3.2905 -2.5940
0.4033 -2.9891 -4.2799
-4.2430 -2.8144 1.5658
Se O Hg As
2 1 1 1
Direct
0.5000 0.0000 0.0000 Se
0.0000 0.5000 0.0000 Se
0.5000 0.5000 0.5000 O
0.0000 0.0000 0.0000 Hg
0.0000 0.0000 0.5000 As
```